1.
Material: Ba2W3
Method: DFT, meta-GGA SCAN
State: single point on PBEsol structure

Geometry as extended XYZ:
```
5
Lattice="4.1004 0.0000 0.0000 -2.0502 3.5511 0.0000 0.0000 0.0000 10.9139" Properties=species:S:1:pos:R:3 pbc="T T T"
Ba 0.0000 2.3674 3.1474
Ba 2.0502 1.1837 7.7665
W 0.0000 0.0000 5.4570
W 0.0000 2.3674 10.9021
W 2.0502 1.1837 0.0118
```

## Properties
ΔH_f (0 K): 2071 meV per atom
offset from the most stable computed form: 0.503 eV/atom
size of the total moment: 0.4903 μB per atom
uncorrected energy: -55.56 eV/atom


2.
Material: PSBrN2
Method: DFT, meta-GGA SCAN
State: single point on PBEsol structure

Geometry as extended XYZ:
```
5
Lattice="3.4225 0.0000 0.0000 0.0000 3.4225 0.0000 0.0000 0.0000 5.5692" Properties=species:S:1:pos:R:3 pbc="T T T"
P 0.0000 0.0000 0.0000
S 0.0000 0.0000 2.7846
Br 1.7112 1.7112 2.7846
N 0.0000 1.7112 0.0000
N 1.7112 0.0000 0.0000
```

## Properties
size of the total moment: 0.0708 μB per atom
uncorrected energy: -10.66 eV/atom
energy relative to the elements, uncorrected: 461 kJ/mol of formula units


3.
Material: Ba2AgHg2
Method: DFT, meta-GGA SCAN
State: single point on PBEsol structure

Geometry as extended XYZ:
```
5
Lattice="-2.1177 2.1177 9.3433 2.1177 -2.1177 9.3433 2.1177 2.1177 -9.3433" Properties=species:S:1:pos:R:3 pbc="T T T"
Ba 0.0000 0.0000 1.8961
Ba 0.0000 0.0000 16.7906
Ag 0.0000 0.0000 9.3433
Hg 2.1177 0.0000 4.6717
Hg 0.0000 2.1177 4.6717
```

## Properties
ΔH_f (0 K): -336 meV per atom
size of the total moment: 0.0000 μB per atom
uncorrected energy: -49.70 eV/atom